No. 1
The following is a DFT calculation (PBE) of a relaxed structure of NaAcCO4.

Uncorrected energy: -6.6333 eV/atom
Uncorrected formation energy: -1.7070 eV per atom

abc: 5.456 6.396 6.396
angles: 76.54 64.75 64.75
Sites, in units of the cell vectors:
Na  0.500  0.000  0.500
Na  0.000  0.000  0.500
Ac  0.000  0.000  0.000
Ac  0.000  0.500  0.500
C  0.610  0.640  0.140
C  0.390  0.360  0.860
O  0.691  0.707  0.910
O  0.309  0.590  0.793
O  0.691  0.410  0.207
O  0.309  0.293  0.090
O  0.278  0.753  0.253
O  0.717  0.753  0.253
O  0.283  0.247  0.747
O  0.722  0.247  0.747



No. 2
The following is a DFT calculation (PBE) of a relaxed structure of SmTmTe2.

Energy above the most stable polymorph in this dataset: 0.62 eV/f.u.
Uncorrected energy: -5.0312 eV/atom
Uncorrected formation energy: -1.1627 eV per atom

abc: 3.793 5.366 5.366
angles: 90.00 90.00 90.00
Site moments in Bohr magnetons follow the coordinates.
Sites, in units of the cell vectors:
Tm  0.500  0.500  0.500  0.28
Te  0.000  0.000  0.500  -0.01
Te  0.000  0.500  0.000  -0.01
Sm  0.500  0.000  0.000  0.19



No. 3
The following is a DFT calculation (PBE) of a relaxed structure of AlAg2Ir.

Uncorrected energy: -4.5483 eV/atom
Energy of formation from the pure elements: 0.03 eV/atom

abc: 5.185 5.185 5.185
angles: 136.82 136.82 62.72
Sites, in units of the cell vectors:
Ir  0.750  0.250  0.500
Al  0.250  0.750  0.500
Ag  0.000  0.000  0.000
Ag  0.500  0.500  0.000



No. 4
The following is a DFT calculation (PBE) of a relaxed structure of Ba2CaRe.

Energy above the most stable polymorph in this dataset: 0.21 eV/f.u.
Uncorrected energy: -3.7437 eV/atom
Energy of formation from the pure elements: 0.83 eV/atom

abc: 3.718 3.718 11.011
angles: 90.00 90.00 89.98
Site moments in Bohr magnetons follow the coordinates.
Sites, in units of the cell vectors:
Re  0.500  0.500  0.732  1.34
Ca  0.000  0.000  0.581  0.02
Ba  0.000  0.000  0.917  0.02
Ba  0.500  0.500  0.270  0.14



Among the records above, which one has the lowest uncorrected energy?
NaAcCO4



Among the records above, which one has the lowest uncorrected energy?
NaAcCO4